# 1
# GGA-PBE GdTmZnSn, relaxed
data_GdTmZnSn
_space_group_name_H-M_alt 'F -4 3 m'
_space_group_IT_number 216
_space_group_name_Hall 'F -4 2 3'
_cell_length_a 7.328
_cell_length_b 7.328
_cell_length_c 7.328
_cell_angle_alpha 90.00
_cell_angle_beta 90.00
_cell_angle_gamma 90.00
loop_
_atom_site_label
_atom_site_type_symbol
_atom_site_fract_x
_atom_site_fract_y
_atom_site_fract_z
Gd1 Gd 0.000 0.000 0.000
Tm1 Tm 0.000 0.000 0.500
Zn1 Zn 0.250 0.250 0.250
Sn1 Sn 0.250 0.250 0.750
# raw total energy	-103.145	eV/cell
# energy of formation	-0.4892	eV/atom

---

# 2
# GGA-PBE GdUSn2, relaxed
data_GdUSn2
_space_group_name_H-M_alt 'R -3 m'
_space_group_IT_number 166
_space_group_name_Hall '-R 3 2"'
_cell_length_a 3.2462
_cell_length_b 3.2462
_cell_length_c 35.6468
_cell_angle_alpha 90.00
_cell_angle_beta 90.00
_cell_angle_gamma 120.00
loop_
_atom_site_label
_atom_site_type_symbol
_atom_site_fract_x
_atom_site_fract_y
_atom_site_fract_z
Gd1 Gd 0.0000 0.0000 0.0000
U1 U 0.0000 0.0000 0.5000
Sn1 Sn 0.0000 0.0000 0.0891
# raw total energy	-98.500	eV/cell
# E above lowest polymorph	42.7	kJ per mole of atoms
# energy of formation	0.1354	eV/atom

---

# 3
# GGA-PBE GdUSn2, relaxed
data_GdUSn2
_space_group_name_H-M_alt 'P 4/m m m'
_space_group_IT_number 123
_space_group_name_Hall '-P 4 2'
_cell_length_a 3.996
_cell_length_b 3.996
_cell_length_c 6.636
_cell_angle_alpha 90.00
_cell_angle_beta 90.00
_cell_angle_gamma 90.00
loop_
_atom_site_label
_atom_site_type_symbol
_atom_site_fract_x
_atom_site_fract_y
_atom_site_fract_z
Gd1 Gd 0.000 0.000 0.000
U1 U 0.000 0.000 0.500
Sn1 Sn 0.500 0.500 0.248
# raw total energy	-34.441	eV/cell
# E above lowest polymorph	3.9	kJ per mole of atoms
# energy of formation	-0.2666	eV/atom

---

| no. | DOS at the Fermi energy (states/eV per atom) |
| --- | --- |
| 1 | 0.750 |
| 2 | 1.767 |
| 3 | 1.147 |